No. 1
GdZrCuRh: optimized geometry, PBE-GGA. Values from VASP.

Structure (Quantum ESPRESSO input):
```
&SYSTEM
  ibrav = 0, nat = 4, ntyp = 4
/
ATOMIC_SPECIES
Zr 91.22 Zr.upf
Rh 102.91 Rh.upf
Cu 63.55 Cu.upf
Gd 157.25 Gd.upf
CELL_PARAMETERS angstrom
-2.340 3.168 2.733
-3.870 -1.367 2.476
0.208 -0.340 4.777
ATOMIC_POSITIONS angstrom
Zr -3.001 0.730 4.993
Rh -4.501 1.096 7.489
Cu -1.500 0.365 2.496
Gd 0.000 0.000 0.000
```

Results
Formation energy = -0.408 eV/atom
SG = F-43m
Final energy = -8.93 eV/atom
Size of the total moment = 7.28 μB per formula unit

***

No. 2
GdCuRu: optimized geometry, PBE-GGA. Values from VASP.

Structure (Quantum ESPRESSO input):
```
&SYSTEM
  ibrav = 0, nat = 3, ntyp = 3
/
ATOMIC_SPECIES
Ru 101.07 Ru.upf
Gd 157.25 Gd.upf
Cu 63.55 Cu.upf
CELL_PARAMETERS angstrom
3.410 0.000 0.000
0.000 3.410 0.000
-1.705 -1.705 4.678
ATOMIC_POSITIONS angstrom
Ru 0.000 0.000 2.422
Gd 1.705 1.705 4.167
Cu 1.705 1.705 1.363
```

Results
E above lowest polymorph = 47 meV per atom
Formation energy = -0.031 eV/atom
SG = I4mm
Final energy = -9.18 eV/atom
Size of the total moment = 6.99 μB per formula unit

***

No. 3
GdCu4Ru: optimized geometry, PBE-GGA. Values from VASP.

Structure (Quantum ESPRESSO input):
```
&SYSTEM
  ibrav = 0, nat = 6, ntyp = 3
/
ATOMIC_SPECIES
Cu 63.55 Cu.upf
Ru 101.07 Ru.upf
Gd 157.25 Gd.upf
CELL_PARAMETERS angstrom
-0.113 3.332 -3.722
-0.813 -1.520 -4.690
-4.325 1.076 -2.260
ATOMIC_POSITIONS angstrom
Cu -3.219 0.153 -4.815
Cu -3.275 1.801 -6.656
Ru -1.313 0.722 -2.668
Cu -1.135 1.269 -5.538
Gd 0.000 0.000 0.000
Cu -2.872 2.553 -4.336
```

Results
Formation energy = -0.048 eV/atom
SG = F-43m
Final energy = -6.67 eV/atom
Size of the total moment = 7.27 μB per formula unit

***

No. 4
GdCuRu: optimized geometry, PBE-GGA. Values from VASP.

Structure (Quantum ESPRESSO input):
```
&SYSTEM
  ibrav = 0, nat = 3, ntyp = 3
/
ATOMIC_SPECIES
Gd 157.25 Gd.upf
Ru 101.07 Ru.upf
Cu 63.55 Cu.upf
CELL_PARAMETERS angstrom
3.654 0.000 0.000
0.000 4.259 0.000
0.000 -2.130 3.689
ATOMIC_POSITIONS angstrom
Gd 2.437 2.130 1.230
Ru 0.610 0.000 2.459
Cu 0.608 0.000 0.000
```

Results
E above lowest polymorph = 0 meV per atom
Formation energy = -0.078 eV/atom
SG = P-6m2
Final energy = -9.23 eV/atom
Size of the total moment = 7.02 μB per formula unit

***

Among the records above, which one has the highest size of the total moment?
GdZrCuRh

***

Number 1 is which compound?
GdZrCuRh